No. 1
# LiLuSiRu (PBE, relaxed)
# Space group ... F-43m (216)
# Calculated total energy ... -22.8 eV/cell
# D(E_F) ... 2.3 states/eV/f.u.
# V ... 62.3 Å³ per cell
# Crystal system ... cubic
data_LiLuSiRu
_cell_length_a 4.4489
_cell_length_b 4.4489
_cell_length_c 4.4489
_cell_angle_alpha 60.00
_cell_angle_beta 60.00
_cell_angle_gamma 60.00
_symmetry_space_group_name_H-M 'P 1'
_symmetry_Int_Tables_number 1
_symmetry_space_group_name_Hall 'P 1'
loop_
_atom_site_label
_atom_site_fract_x
_atom_site_fract_y
_atom_site_fract_z
_atom_site_occupancy
Li1 0.0000 0.0000 0.0000 1
Lu1 0.2500 0.2500 0.2500 1
Si1 0.7500 0.7500 0.7500 1
Ru1 0.5000 0.5000 0.5000 1

No. 2
# Pa2CdI11 (PBE, relaxed)
# Space group ... Ibam (72)
# Calculated total energy ... -96.1 eV/cell
# D(E_F) ... 6.8 states/eV/f.u.
# V ... 1697.9 Å³ per cell
# Crystal system ... orthorhombic
data_Pa2CdI11
_cell_length_a 13.5256
_cell_length_b 13.5256
_cell_length_c 13.5256
_cell_angle_alpha 129.53
_cell_angle_beta 91.93
_cell_angle_gamma 109.26
_symmetry_space_group_name_H-M 'P 1'
_symmetry_Int_Tables_number 1
_symmetry_space_group_name_Hall 'P 1'
loop_
_atom_site_label
_atom_site_fract_x
_atom_site_fract_y
_atom_site_fract_z
_atom_site_occupancy
Pa1 0.0827 0.2338 0.3164 1
Pa2 0.4173 0.7338 0.1511 1
Pa3 0.5827 0.2662 0.8489 1
Pa4 0.9173 0.7662 0.6836 1
Cd1 0.2500 0.7500 0.5000 1
Cd2 0.7500 0.2500 0.5000 1
I1 0.0000 0.0000 0.0000 1
I2 0.0287 0.0030 0.3097 1
I3 0.0945 0.4452 0.2825 1
I4 0.1586 0.4507 0.6093 1
I5 0.1627 0.8120 0.7175 1
I6 0.1933 0.5030 0.9743 1
I7 0.3067 0.2811 0.3097 1
I8 0.3373 0.0548 0.6493 1
I9 0.3414 0.9507 0.2922 1
I10 0.4055 0.6880 0.3507 1
I11 0.4713 0.7811 0.9743 1
I12 0.5000 0.5000 0.0000 1
I13 0.5287 0.2189 0.0257 1
I14 0.5945 0.3120 0.6493 1
I15 0.6586 0.0493 0.7078 1
I16 0.6627 0.9452 0.3507 1
I17 0.6933 0.7189 0.6903 1
I18 0.8067 0.4970 0.0257 1
I19 0.8373 0.1880 0.2825 1
I20 0.8414 0.5493 0.3907 1
I21 0.9055 0.5548 0.7175 1
I22 0.9713 0.9970 0.6903 1

No. 3
# CsRb2TlF4 (PBE, relaxed)
# Space group ... Cmcm (63)
# Calculated total energy ... -63.4 eV/cell
# D(E_F) ... 0.0 states/eV/f.u.
# V ... 394.3 Å³ per cell
# Crystal system ... orthorhombic
data_CsRb2TlF4
_cell_length_a 7.9326
_cell_length_b 7.9326
_cell_length_c 12.6515
_cell_angle_alpha 90.00
_cell_angle_beta 90.00
_cell_angle_gamma 150.31
_symmetry_space_group_name_H-M 'P 1'
_symmetry_Int_Tables_number 1
_symmetry_space_group_name_Hall 'P 1'
loop_
_atom_site_label
_atom_site_fract_x
_atom_site_fract_y
_atom_site_fract_z
_atom_site_occupancy
Cs1 0.2253 0.7747 0.7500 1
Cs2 0.7747 0.2253 0.2500 1
Rb1 0.3751 0.6249 0.0132 1
Rb2 0.3751 0.6249 0.4868 1
Rb3 0.6249 0.3751 0.5132 1
Rb4 0.6249 0.3751 0.9868 1
Tl1 0.0395 0.9605 0.2500 1
Tl2 0.9605 0.0395 0.7500 1
F1 0.0000 0.0000 0.0000 1
F2 0.0000 0.0000 0.5000 1
F3 0.2023 0.7977 0.1102 1
F4 0.2023 0.7977 0.3898 1
F5 0.4324 0.5676 0.2500 1
F6 0.5676 0.4324 0.7500 1
F7 0.7977 0.2023 0.6102 1
F8 0.7977 0.2023 0.8898 1

No. 4
# CsK3Ag2 (PBE, relaxed)
# Calculated formation energy ... 0.4 kcal/mol of atoms
# Space group ... C2/m (12)
# D(E_F) ... 2.6 states/eV/f.u.
# V ... 625.9 Å³ per cell
# Crystal system ... monoclinic
data_CsK3Ag2
_cell_length_a 10.6764
_cell_length_b 10.6764
_cell_length_c 14.3858
_cell_angle_alpha 120.70
_cell_angle_beta 120.70
_cell_angle_gamma 26.64
_symmetry_space_group_name_H-M 'P 1'
_symmetry_Int_Tables_number 1
_symmetry_space_group_name_Hall 'P 1'
loop_
_atom_site_label
_atom_site_fract_x
_atom_site_fract_y
_atom_site_fract_z
_atom_site_occupancy
Cs1 0.1501 0.1501 0.2361 1
Cs2 0.8499 0.8499 0.7639 1
K1 0.1646 0.1646 0.7539 1
K2 0.4073 0.4073 0.5428 1
K3 0.4095 0.4095 0.0698 1
K4 0.5905 0.5905 0.9302 1
K5 0.5927 0.5927 0.4572 1
K6 0.8354 0.8354 0.2461 1
Ag1 0.2349 0.2349 0.0372 1
Ag2 0.2346 0.2346 0.5372 1
Ag3 0.7654 0.7654 0.4628 1
Ag4 0.7651 0.7651 0.9628 1

No. 5
# LaCrMoN2 (PBE, relaxed)
# Space group ... P4/mmm (123)
# Calculated total energy ... -30.8 eV/cell
# D(E_F) ... 7.2 states/eV/f.u.
# V ... 88.1 Å³ per cell
# Crystal system ... tetragonal
data_LaCrMoN2
_cell_length_a 4.0478
_cell_length_b 4.0478
_cell_length_c 5.3784
_cell_angle_alpha 90.00
_cell_angle_beta 90.00
_cell_angle_gamma 90.00
_symmetry_space_group_name_H-M 'P 1'
_symmetry_Int_Tables_number 1
_symmetry_space_group_name_Hall 'P 1'
loop_
_atom_site_label
_atom_site_fract_x
_atom_site_fract_y
_atom_site_fract_z
_atom_site_occupancy
La1 0.0000 0.0000 0.0000 1
Cr1 0.0000 0.0000 0.5000 1
Mo1 0.5000 0.5000 0.5000 1
N1 0.0000 0.5000 0.0000 1
N2 0.5000 0.0000 0.0000 1

No. 6
# Nd2Y2Sc (PBE, relaxed)
# Calculated formation energy ... 5.1 kcal/mol of atoms
# Space group ... Pbam (55)
# D(E_F) ... 7.0 states/eV/f.u.
# V ... 334.1 Å³ per cell
# Crystal system ... orthorhombic
data_Nd2Y2Sc
_cell_length_a 6.5061
_cell_length_b 9.2170
_cell_length_c 5.5707
_cell_angle_alpha 90.00
_cell_angle_beta 90.00
_cell_angle_gamma 90.00
_symmetry_space_group_name_H-M 'P 1'
_symmetry_Int_Tables_number 1
_symmetry_space_group_name_Hall 'P 1'
loop_
_atom_site_label
_atom_site_fract_x
_atom_site_fract_y
_atom_site_fract_z
_atom_site_occupancy
Nd1 0.2428 0.0956 0.0000 1
Nd2 0.2572 0.5956 0.0000 1
Nd3 0.7428 0.4044 0.0000 1
Nd4 0.7572 0.9044 0.0000 1
Y1 0.0730 0.3325 0.5000 1
Y2 0.4270 0.8325 0.5000 1
Y3 0.5730 0.1675 0.5000 1
Y4 0.9270 0.6675 0.5000 1
Sc1 0.0000 0.0000 0.5000 1
Sc2 0.5000 0.5000 0.5000 1

No. 7
# NdHo3Sb (PBE, relaxed)
# Space group ... Pnma (62)
# Calculated total energy ... -98.3 eV/cell
# D(E_F) ... 7.2 states/eV/f.u.
# V ... 622.5 Å³ per cell
# Crystal system ... orthorhombic
data_NdHo3Sb
_cell_length_a 10.7635
_cell_length_b 4.0135
_cell_length_c 14.4103
_cell_angle_alpha 90.00
_cell_angle_beta 90.00
_cell_angle_gamma 90.00
_symmetry_space_group_name_H-M 'P 1'
_symmetry_Int_Tables_number 1
_symmetry_space_group_name_Hall 'P 1'
loop_
_atom_site_label
_atom_site_fract_x
_atom_site_fract_y
_atom_site_fract_z
_atom_site_occupancy
Nd1 0.1721 0.2500 0.0242 1
Nd2 0.3279 0.7500 0.5242 1
Nd3 0.6721 0.2500 0.4758 1
Nd4 0.8279 0.7500 0.9758 1
Ho1 0.0801 0.2500 0.4218 1
Ho2 0.1082 0.7500 0.2257 1
Ho3 0.1434 0.7500 0.8104 1
Ho4 0.3566 0.2500 0.3104 1
Ho5 0.3918 0.2500 0.7257 1
Ho6 0.4199 0.7500 0.9218 1
Ho7 0.5801 0.2500 0.0782 1
Ho8 0.6082 0.7500 0.2743 1
Ho9 0.6434 0.7500 0.6896 1
Ho10 0.8566 0.2500 0.1896 1
Ho11 0.8918 0.2500 0.7743 1
Ho12 0.9199 0.7500 0.5782 1
Sb1 0.1303 0.2500 0.6375 1
Sb2 0.3697 0.7500 0.1375 1
Sb3 0.6303 0.2500 0.8625 1
Sb4 0.8697 0.7500 0.3625 1

No. 8
# BaMgTcGe2 (PBE, relaxed)
# Calculated formation energy ... -6.0 kcal/mol of atoms
# Space group ... P4/mmm (123)
# D(E_F) ... 1.6 states/eV/f.u.
# V ... 121.5 Å³ per cell
# Crystal system ... tetragonal
data_BaMgTcGe2
_cell_length_a 4.8809
_cell_length_b 4.8809
_cell_length_c 5.0989
_cell_angle_alpha 90.00
_cell_angle_beta 90.00
_cell_angle_gamma 90.00
_symmetry_space_group_name_H-M 'P 1'
_symmetry_Int_Tables_number 1
_symmetry_space_group_name_Hall 'P 1'
loop_
_atom_site_label
_atom_site_fract_x
_atom_site_fract_y
_atom_site_fract_z
_atom_site_occupancy
Ba1 0.0000 0.0000 0.0000 1
Mg1 0.5000 0.5000 0.0000 1
Tc1 0.5000 0.5000 0.5000 1
Ge1 0.0000 0.5000 0.5000 1
Ge2 0.5000 0.0000 0.5000 1

No. 9
# Ac4Cu3O10 (PBE, relaxed)
# Space group ... I4/mmm (139)
# Calculated total energy ... -116.2 eV/cell
# D(E_F) ... 3.6 states/eV/f.u.
# V ... 226.2 Å³ per cell
# Crystal system ... tetragonal
data_Ac4Cu3O10
_cell_length_a 14.8788
_cell_length_b 14.8788
_cell_length_c 14.8788
_cell_angle_alpha 164.81
_cell_angle_beta 164.81
_cell_angle_gamma 21.55
_symmetry_space_group_name_H-M 'P 1'
_symmetry_Int_Tables_number 1
_symmetry_space_group_name_Hall 'P 1'
loop_
_atom_site_label
_atom_site_fract_x
_atom_site_fract_y
_atom_site_fract_z
_atom_site_occupancy
Ac1 0.0664 0.0664 0.0000 1
Ac2 0.1977 0.1977 0.0000 1
Ac3 0.8023 0.8023 0.0000 1
Ac4 0.9336 0.9336 0.0000 1
Cu1 0.3627 0.3627 0.0000 1
Cu2 0.5000 0.5000 0.0000 1
Cu3 0.6373 0.6373 0.0000 1
O1 0.0000 0.5000 0.5000 1
O2 0.1378 0.6378 0.5000 1
O3 0.2836 0.2836 0.0000 1
O4 0.3622 0.8622 0.5000 1
O5 0.4323 0.4323 0.0000 1
O6 0.5000 0.0000 0.5000 1
O7 0.5677 0.5677 0.0000 1
O8 0.6378 0.1378 0.5000 1
O9 0.7164 0.7164 0.0000 1
O10 0.8622 0.3622 0.5000 1

Copy entry 8 word for word.
# BaMgTcGe2 (PBE, relaxed)
# Calculated formation energy ... -6.0 kcal/mol of atoms
# Space group ... P4/mmm (123)
# D(E_F) ... 1.6 states/eV/f.u.
# V ... 121.5 Å³ per cell
# Crystal system ... tetragonal
data_BaMgTcGe2
_cell_length_a 4.8809
_cell_length_b 4.8809
_cell_length_c 5.0989
_cell_angle_alpha 90.00
_cell_angle_beta 90.00
_cell_angle_gamma 90.00
_symmetry_space_group_name_H-M 'P 1'
_symmetry_Int_Tables_number 1
_symmetry_space_group_name_Hall 'P 1'
loop_
_atom_site_label
_atom_site_fract_x
_atom_site_fract_y
_atom_site_fract_z
_atom_site_occupancy
Ba1 0.0000 0.0000 0.0000 1
Mg1 0.5000 0.5000 0.0000 1
Tc1 0.5000 0.5000 0.5000 1
Ge1 0.0000 0.5000 0.5000 1
Ge2 0.5000 0.0000 0.5000 1

Please write out number 2 again, unchanged.
# Pa2CdI11 (PBE, relaxed)
# Space group ... Ibam (72)
# Calculated total energy ... -96.1 eV/cell
# D(E_F) ... 6.8 states/eV/f.u.
# V ... 1697.9 Å³ per cell
# Crystal system ... orthorhombic
data_Pa2CdI11
_cell_length_a 13.5256
_cell_length_b 13.5256
_cell_length_c 13.5256
_cell_angle_alpha 129.53
_cell_angle_beta 91.93
_cell_angle_gamma 109.26
_symmetry_space_group_name_H-M 'P 1'
_symmetry_Int_Tables_number 1
_symmetry_space_group_name_Hall 'P 1'
loop_
_atom_site_label
_atom_site_fract_x
_atom_site_fract_y
_atom_site_fract_z
_atom_site_occupancy
Pa1 0.0827 0.2338 0.3164 1
Pa2 0.4173 0.7338 0.1511 1
Pa3 0.5827 0.2662 0.8489 1
Pa4 0.9173 0.7662 0.6836 1
Cd1 0.2500 0.7500 0.5000 1
Cd2 0.7500 0.2500 0.5000 1
I1 0.0000 0.0000 0.0000 1
I2 0.0287 0.0030 0.3097 1
I3 0.0945 0.4452 0.2825 1
I4 0.1586 0.4507 0.6093 1
I5 0.1627 0.8120 0.7175 1
I6 0.1933 0.5030 0.9743 1
I7 0.3067 0.2811 0.3097 1
I8 0.3373 0.0548 0.6493 1
I9 0.3414 0.9507 0.2922 1
I10 0.4055 0.6880 0.3507 1
I11 0.4713 0.7811 0.9743 1
I12 0.5000 0.5000 0.0000 1
I13 0.5287 0.2189 0.0257 1
I14 0.5945 0.3120 0.6493 1
I15 0.6586 0.0493 0.7078 1
I16 0.6627 0.9452 0.3507 1
I17 0.6933 0.7189 0.6903 1
I18 0.8067 0.4970 0.0257 1
I19 0.8373 0.1880 0.2825 1
I20 0.8414 0.5493 0.3907 1
I21 0.9055 0.5548 0.7175 1
I22 0.9713 0.9970 0.6903 1

> The highest V belongs to which entry?

Pa2CdI11

> Among the records above, which one has the highest V?

Pa2CdI11